[1]
Y2Ag2Sb: relaxed, GGA-PBE.

Cell and atoms, written as POSCAR:
```
Y2Ag2Sb
1.0
-6.215 -5.436 0.426
5.439 -6.227 -0.102
0.180 0.095 3.843
Y Sb Ag
4 2 4
Direct
0.330 0.830 0.000
0.830 0.670 0.000
0.670 0.170 0.000
0.170 0.330 0.000
0.000 0.000 0.000
0.500 0.500 0.000
0.123 0.623 0.500
0.623 0.877 0.500
0.877 0.377 0.500
0.377 0.123 0.500
```

Results
E_form (uncorrected) (meV per atom): -297
E above lowest polymorph (meV/atom): 189.4
Space group: P4/mbm (127)
Density (g/cm3): 6.51
Electronic total energy (eV per formula unit): -24.239

=====

[2]
Tm7Pd2Ru2: relaxed, GGA-PBE.

Cell and atoms, written as POSCAR:
```
Tm7Pd2Ru2
1.0
6.479 -0.002 -0.681
0.005 6.775 0.002
-1.083 -0.003 6.423
Tm Pd Ru
7 2 2
Direct
0.000 0.262 0.500
0.500 0.738 0.000
0.000 0.738 0.500
0.500 0.262 0.000
0.000 0.000 0.000
0.500 0.747 0.500
0.500 0.253 0.500
0.808 0.500 0.808
0.192 0.500 0.192
0.713 0.000 0.287
0.287 0.000 0.713
```

Results
Space group: Cmmm (65)
ΔH_f (0 K) (eV/atom): -0.39
Density (g/cm3): 9.58
Electronic total energy (eV per formula unit): -64.573

=====

[3]
TaTl3Fe: relaxed, GGA-PBE.

Cell and atoms, written as POSCAR:
```
TaTl3Fe
1.0
-4.937 -0.460 2.306
1.820 -4.141 3.073
1.488 3.542 3.892
Tl Fe Ta
3 1 1
Direct
0.000 0.500 0.000
0.000 0.000 0.500
0.500 0.000 0.000
0.500 0.500 0.500
0.000 0.000 0.000
```

Results
E above lowest polymorph (meV/atom): 7.7
Space group: Pm-3m (221)
ΔH_f (0 K) (eV/atom): 1.37
Density (g/cm3): 8.63
Electronic total energy (eV per formula unit): -20.575

=====

[4]
Ba4TlI2: relaxed, GGA-PBE.

Cell and atoms, written as POSCAR:
```
Ba4TlI2
1.0
4.719 0.000 0.000
-2.360 8.143 0.000
0.000 0.000 17.692
I Tl Ba
4 2 8
Direct
0.851 0.702 0.939
0.149 0.298 0.061
0.851 0.702 0.561
0.149 0.298 0.439
0.405 0.810 0.250
0.595 0.190 0.750
0.202 0.404 0.635
0.798 0.596 0.365
0.798 0.596 0.135
0.202 0.404 0.865
0.933 0.867 0.750
0.067 0.133 0.250
0.500 0.000 0.000
0.500 0.000 0.500
```

Results
E_form (uncorrected) (meV per atom): -867
Space group: Cmcm (63)
Density (g/cm3): 4.92
Electronic total energy (eV per formula unit): -19.226

=====

[5]
Ta3Cl: relaxed, GGA-PBE.

Cell and atoms, written as POSCAR:
```
Ta3Cl
1.0
2.908 0.000 0.000
0.000 4.554 0.000
0.000 0.000 5.517
Cl Ta
1 3
Direct
0.000 0.000 0.000
0.500 0.500 0.738
0.000 0.000 0.500
0.500 0.500 0.262
```

Results
E_form (uncorrected) (meV per atom): 462
E above lowest polymorph (meV/atom): 372.8
Space group: Pmmm (47)
Density (g/cm3): 13.15
Electronic total energy (eV per formula unit): -35.558

=====

[6]
LiLa3Y3Te8: relaxed, GGA-PBE.

Cell and atoms, written as POSCAR:
```
LiLa3Y3Te8
1.0
8.874 0.000 0.000
-4.437 7.685 -0.027
0.000 -5.098 7.328
Li La Y Te
1 3 3 8
Direct
0.000 0.000 0.500
0.000 0.000 0.000
0.000 0.500 0.000
0.500 0.500 0.000
0.500 0.000 0.500
0.500 0.500 0.500
0.000 0.500 0.500
0.255 0.510 0.265
0.745 0.490 0.735
0.753 0.505 0.262
0.247 0.495 0.738
0.753 0.010 0.262
0.247 0.990 0.738
0.257 0.010 0.262
0.743 0.990 0.738
```

Results
E_form (uncorrected) (meV per atom): -1440
Space group: R-3m (166)
Density (g/cm3): 5.70
Electronic total energy (eV per formula unit): -82.815

=====

[7]
DyErMo: relaxed, GGA-PBE.

Cell and atoms, written as POSCAR:
```
DyErMo
1.0
-1.205 5.216 1.534
-2.707 1.328 3.467
5.595 2.618 5.602
Dy Mo Er
2 2 2
Direct
0.750 0.500 0.500
0.250 0.500 0.500
0.842 0.315 0.000
0.158 0.685 0.000
0.594 0.000 0.813
0.406 0.000 0.187
```

Results
Space group: Fmmm (69)
ΔH_f (0 K) (eV/atom): 0.70
Density (g/cm3): 8.84
Electronic total energy (eV per formula unit): -17.882

=====

[8]
Cr2FeCo: relaxed, GGA-PBE.

Cell and atoms, written as POSCAR:
```
Cr2FeCo
1.0
-3.717 2.777 0.298
-4.098 -2.170 0.333
4.159 0.513 2.014
Co Cr Fe
1 2 1
Direct
0.246 0.746 0.500
0.988 0.988 0.000
0.760 0.260 0.500
0.506 0.506 0.000
```

Results
Space group: Imm2 (44)
ΔH_f (0 K) (eV/atom): 0.16
Density (g/cm3): 7.95
Electronic total energy (eV per formula unit): -34.173

=====

[9]
Cs4Pr3AlO8: relaxed, GGA-PBE.

Cell and atoms, written as POSCAR:
```
Cs4Pr3AlO8
1.0
-4.395 -2.564 4.936
0.147 -7.148 -3.583
6.584 2.601 2.123
Cs Pr Al O
4 3 1 8
Direct
0.500 0.000 0.000
0.500 0.000 0.500
0.000 0.000 0.000
0.000 0.000 0.500
0.500 0.500 0.000
0.500 0.500 0.500
0.000 0.500 0.500
0.000 0.500 0.000
0.170 0.639 0.942
0.265 0.709 0.530
0.287 0.329 0.574
0.771 0.639 0.942
0.229 0.361 0.058
0.713 0.671 0.426
0.735 0.291 0.470
0.830 0.361 0.058
```

Results
E_form (uncorrected) (meV per atom): -2264
Space group: C2/m (12)
Density (g/cm3): 5.74
Electronic total energy (eV per formula unit): -97.381

=====

[10]
SmPuIn4: relaxed, GGA-PBE.

Cell and atoms, written as POSCAR:
```
SmPuIn4
1.0
3.566 0.000 0.005
0.000 5.025 0.000
-0.014 0.000 8.747
Sm Pu In
1 1 4
Direct
0.500 0.000 0.000
0.500 0.500 0.500
0.001 0.000 0.667
0.998 0.500 0.834
0.999 0.000 0.333
0.002 0.500 0.166
```

Results
E above lowest polymorph (meV/atom): 0.0
Space group: P2/m (10)
ΔH_f (0 K) (eV/atom): -0.30
Density (g/cm3): 9.04
Electronic total energy (eV per formula unit): -31.819

=====

[11]
CdH2PtS: relaxed, GGA-PBE.

Cell and atoms, written as POSCAR:
```
CdH2PtS
1.0
-2.495 1.778 -1.935
-2.973 -5.448 -1.172
-1.999 0.448 2.988
H S Pt Cd
2 1 1 1
Direct
0.000 0.000 0.500
0.500 0.000 0.000
0.000 0.000 0.000
0.500 0.500 0.500
0.000 0.500 0.000
```

Results
Space group: P4/mmm (123)
Density (g/cm3): 6.84
Electronic total energy (eV per formula unit): -15.247

=====

[12]
Zr6Ir2N: relaxed, GGA-PBE.

Cell and atoms, written as POSCAR:
```
Zr6Ir2N
1.0
-4.009 4.100 1.793
-2.966 -0.373 -5.779
-5.171 -6.781 3.092
Zr Ir N
12 4 2
Direct
0.881 0.980 0.258
0.820 0.694 0.555
0.809 0.684 0.944
0.691 0.184 0.556
0.680 0.194 0.945
0.619 0.480 0.242
0.119 0.020 0.742
0.180 0.306 0.445
0.191 0.316 0.056
0.309 0.816 0.444
0.320 0.806 0.055
0.381 0.520 0.758
0.949 0.401 0.754
0.551 0.901 0.746
0.449 0.099 0.254
0.051 0.599 0.246
0.500 0.500 0.000
0.000 0.000 0.500
```

Results
E_form (uncorrected) (meV per atom): -783
Space group: P2_1/c (14)
Density (g/cm3): 8.86
Electronic total energy (eV per formula unit): -84.386

=====

Please write out number 8 again, unchanged.
Cr2FeCo: relaxed, GGA-PBE.

Cell and atoms, written as POSCAR:
```
Cr2FeCo
1.0
-3.717 2.777 0.298
-4.098 -2.170 0.333
4.159 0.513 2.014
Co Cr Fe
1 2 1
Direct
0.246 0.746 0.500
0.988 0.988 0.000
0.760 0.260 0.500
0.506 0.506 0.000
```

Results
Space group: Imm2 (44)
ΔH_f (0 K) (eV/atom): 0.16
Density (g/cm3): 7.95
Electronic total energy (eV per formula unit): -34.173

=====

Q: density of number 12 (Zr6Ir2N)?
A: 8.86 g/cm3

=====

Q: Look up the electronic total energy of the second one.
A: -64.573 eV per formula unit